Computed, not measured: a geometry-optimized Zn4IrAu structure at the PBE level of DFT.

The space group is P4/mmm (No. 123) and the conventional cell measures 4.190, 4.190 and 6.258 Å, with angles of 90.00, 90.00 and 90.00 degrees. The inequivalent atoms are Zn at (0.000, 0.500, 0.231), Ir at (0.000, 0.000, 0.000) and Au at (0.500, 0.500, 0.500).

Computed, not measured: a geometry-optimized ZnIrAu4 structure at the PBE level of DFT.

The space group is F-43m (No. 216) and the conventional cell measures 7.632, 7.632 and 7.632 Å, with angles of 90.00, 90.00 and 90.00 degrees. The inequivalent atoms are Zn at (0.000, 0.000, 0.000), Ir at (0.250, 0.250, 0.750) and Au at (0.125, 0.125, 0.375).

Computed, not measured: a geometry-optimized Zn2IrAu structure at the PBE level of DFT.

The space group is F-43m (No. 216) and the conventional cell measures 6.280, 6.280 and 6.280 Å, with angles of 90.00, 90.00 and 90.00 degrees. The inequivalent atoms are Zn at (0.000, 0.000, 0.000), Zn at (0.250, 0.250, 0.250), Ir at (0.250, 0.250, 0.750) and Au at (0.000, 0.000, 0.500).

Total DFT energy (no corrections)? In order: -0.2186 -0.2471 -0.2665 Ry/atom.